Crystalline Dy3Tm4Zn at its relaxed geometry. Source: the Alexandria database, functional PBE-GGA.

Formation enthalpy at 0 K = -0.071 eV per atom

Lattice parameters (Å, degrees): 3.5083 3.5083 18.5645 90.00 90.00 90.00
With the nearest neighbours (Å) after each atom.
Space group P4/mmm (No. 123)
Asymmetric unit:
Dy: 0.0000 0.0000 0.0000 [1 per cell]  4 Dy 3.51, 8 Tm 3.53
Dy: 0.0000 0.0000 0.2683 [2 per cell]  8 Tm 3.50-3.55, 4 Dy 3.51
Tm: 0.5000 0.5000 0.1350 [2 per cell]  8 Dy 3.50-3.53, 4 Tm 3.51
Tm: 0.5000 0.5000 0.4052 [2 per cell]  4 Zn 3.04
Zn: 0.0000 0.0000 0.5000 [1 per cell]  8 Tm 3.04

---

Crystalline Dy3TmZn at its relaxed geometry. Source: the Alexandria database, functional PBE-GGA.

ΔE to the lowest computed polymorph = 0 meV/atom
Formation enthalpy at 0 K = -0.127 eV per atom

Lattice parameters (Å, degrees): 28.8500 3.6059 5.3457 90.00 90.13 90.00
With the nearest neighbours (Å) after each atom.
Space group C2/m (No. 12)
Asymmetric unit:
Dy: 0.0453 0.0000 0.2456 [4 per cell]  6 Zn 3.05-3.24
Dy: 0.1247 0.0000 0.7482 [4 per cell]  2 Zn 3.04, 4 Dy 3.37-3.38
Dy: 0.1593 0.5000 0.2490 [4 per cell]  8 Dy 3.37-3.75, 4 Tm 3.40-3.61
Tm: 0.2322 0.5000 0.7498 [4 per cell]  6 Tm 3.38-3.61, 6 Dy 3.40-3.61
Zn: 0.0399 0.5000 0.7419 [4 per cell]  8 Dy 3.04-3.24

---

Crystalline Dy2Tm3Zn3 at its relaxed geometry. Source: the Alexandria database, functional PBE-GGA.

Formation enthalpy at 0 K = -0.249 eV per atom

Lattice parameters (Å, degrees): 3.5720 5.0961 21.2573 90.00 90.00 90.00
With the nearest neighbours (Å) after each atom.
Space group Immm (No. 71)
Asymmetric unit:
Dy: 0.0000 0.0000 0.2283 [4 per cell]  2 Zn 3.02, 4 Dy 3.25
Tm: 0.0000 0.0000 0.0000 [2 per cell]  8 Zn 3.01-3.11
Tm: 0.0000 0.5000 0.1176 [4 per cell]  6 Zn 3.07-3.11
Zn: 0.0000 0.0000 0.5000 [2 per cell]  8 Tm 3.07-3.11
Zn: 0.0000 0.5000 0.3860 [4 per cell]  6 Tm 3.01-3.11, 2 Dy 3.02

---

In the order shown, the computed theoretical density values come out to 8.93 8.62 8.82 g/cm³.
In the order shown, the computed total DFT energy (no corrections) values come out to -4.192 -4.037 -3.554 eV per atom.